Compound: CoTcO2
Source: Alexandria via LeMat-Bulk
Functional: PBE+U
Structure: optimized geometry

## Properties
- total magnetic moment (μB per formula unit) = 2.0
- raw total energy (eV per atom) = -6.369
- E above lowest polymorph (meV/atom) = 726

The structure in POSCAR format:
```
CoTcO2
1.0
0.0000 2.6971 2.6971
2.6971 0.0000 2.6971
2.6971 2.6971 0.0000
Co Tc O
1 1 2
Cartesian
0.0000 0.0000 0.0000
2.6971 2.6971 2.6971
1.3485 1.3485 1.3485
4.0456 4.0456 4.0456
```